# 1
{"formula": "Li2ZrHg2", "functional": "PBE", "state": "relaxed", "lattice": [[7.982, 0.000, 0.000], [0.000, 7.982, 0.000], [0.000, 0.000, 3.055]], "species": ["Li", "Li", "Li", "Li", "Zr", "Zr", "Hg", "Hg", "Hg", "Hg"], "fractional_positions": [[0.155, 0.345, 0.000], [0.345, 0.845, 0.000], [0.655, 0.155, 0.000], [0.845, 0.655, 0.000], [0.000, 0.000, 0.500], [0.500, 0.500, 0.500], [0.144, 0.644, 0.500], [0.356, 0.144, 0.500], [0.644, 0.856, 0.500], [0.856, 0.356, 0.500]]}



# 2
{"formula": "LiZr2Hg", "functional": "PBE", "state": "relaxed", "lattice": [[3.432, 0.000, 0.000], [0.000, 4.607, 0.000], [0.000, 0.000, 10.344]], "species": ["Li", "Li", "Zr", "Zr", "Zr", "Zr", "Hg", "Hg"], "fractional_positions": [[0.000, 0.000, 0.000], [0.500, 0.500, 0.500], [0.000, 0.500, 0.251], [0.000, 0.500, 0.749], [0.500, 0.000, 0.249], [0.500, 0.000, 0.751], [0.000, 0.000, 0.500], [0.500, 0.500, 0.000]]}



# 3
{"formula": "Li4ZrHg5", "functional": "PBE", "state": "relaxed", "lattice": [[3.299, 0.000, 0.000], [0.000, 3.299, 0.000], [0.000, 0.000, 17.367]], "species": ["Li", "Li", "Li", "Li", "Zr", "Hg", "Hg", "Hg", "Hg", "Hg"], "fractional_positions": [[0.000, 0.000, 0.096], [0.000, 0.000, 0.289], [0.000, 0.000, 0.711], [0.000, 0.000, 0.904], [0.000, 0.000, 0.500], [0.500, 0.500, 0.000], [0.500, 0.500, 0.193], [0.500, 0.500, 0.384], [0.500, 0.500, 0.616], [0.500, 0.500, 0.807]]}



# 4
{"formula": "LiZrHg4", "functional": "PBE", "state": "relaxed", "lattice": [[3.219, 0.000, 0.000], [0.000, 3.219, 0.000], [-0.010, 0.000, 12.335]], "species": ["Li", "Zr", "Hg", "Hg", "Hg", "Hg"], "fractional_positions": [[0.000, 0.000, 0.000], [0.500, 0.500, 0.500], [0.001, 0.000, 0.668], [0.499, 0.500, 0.856], [0.501, 0.500, 0.144], [0.999, 0.000, 0.332]]}



# 5
{"formula": "LiZr2Hg", "functional": "PBE", "state": "relaxed", "lattice": [[3.139, 0.000, 0.000], [0.000, 4.427, 0.000], [-1.555, 0.000, 5.966]], "species": ["Li", "Zr", "Zr", "Hg"], "fractional_positions": [[0.000, 0.000, 0.000], [0.248, 0.000, 0.509], [0.610, 0.500, 0.230], [0.871, 0.500, 0.760]]}



# 6
{"formula": "LiZr2Hg", "functional": "PBE", "state": "relaxed", "lattice": [[3.242, 0.000, 0.000], [0.000, 3.242, 0.000], [0.000, 0.000, 7.946]], "species": ["Li", "Zr", "Zr", "Hg"], "fractional_positions": [[0.000, 0.000, 0.000], [0.000, 0.000, 0.541], [0.500, 0.500, 0.277], [0.500, 0.500, 0.821]]}



# 7
{"formula": "LiZr2Hg", "functional": "PBE", "state": "relaxed", "lattice": [[3.000, 0.000, 0.000], [0.000, 5.071, 0.000], [-1.431, 0.000, 5.431]], "species": ["Li", "Zr", "Zr", "Hg"], "fractional_positions": [[0.000, 0.000, 0.000], [0.205, 0.500, 0.758], [0.795, 0.500, 0.242], [0.500, 0.000, 0.500]]}



# 8
{"formula": "LiZr2Hg", "functional": "PBE", "state": "relaxed", "lattice": [[7.884, 0.000, 0.000], [0.000, 7.884, 0.000], [0.000, 0.000, 5.440]], "species": ["Li", "Li", "Li", "Li", "Zr", "Zr", "Zr", "Zr", "Zr", "Zr", "Zr", "Zr", "Hg", "Hg", "Hg", "Hg"], "fractional_positions": [[0.000, 0.000, 0.000], [0.000, 0.500, 0.250], [0.500, 0.000, 0.750], [0.500, 0.500, 0.500], [0.239, 0.250, 0.125], [0.250, 0.739, 0.375], [0.250, 0.761, 0.875], [0.261, 0.250, 0.625], [0.739, 0.750, 0.625], [0.750, 0.239, 0.875], [0.750, 0.261, 0.375], [0.761, 0.750, 0.125], [0.000, 0.000, 0.500], [0.000, 0.500, 0.750], [0.500, 0.000, 0.250], [0.500, 0.500, 0.000]]}



# 9
{"formula": "LiZr5Hg6", "functional": "PBE", "state": "relaxed", "lattice": [[-2.417, 3.703, 7.082], [2.417, -3.703, 7.082], [2.417, 3.703, -7.082]], "species": ["Li", "Zr", "Zr", "Zr", "Zr", "Zr", "Hg", "Hg", "Hg", "Hg", "Hg", "Hg"], "fractional_positions": [[0.000, 0.000, 0.000], [0.184, 0.684, 0.500], [0.348, 0.348, 0.000], [0.500, 0.000, 0.500], [0.652, 0.652, 0.000], [0.816, 0.316, 0.500], [0.069, 0.840, 0.229], [0.210, 0.500, 0.710], [0.388, 0.160, 0.229], [0.612, 0.840, 0.771], [0.790, 0.500, 0.290], [0.931, 0.160, 0.771]]}



# 10
{"formula": "LiZr2Hg", "functional": "PBE", "state": "relaxed", "lattice": [[3.048, 0.000, 0.000], [-1.524, 2.640, 0.000], [0.000, 0.000, 32.624]], "species": ["Li", "Li", "Li", "Zr", "Zr", "Zr", "Zr", "Zr", "Zr", "Hg", "Hg", "Hg"], "fractional_positions": [[0.000, 0.000, 0.000], [0.333, 0.667, 0.667], [0.667, 0.333, 0.333], [0.000, 0.000, 0.248], [0.000, 0.000, 0.752], [0.333, 0.667, 0.419], [0.333, 0.667, 0.914], [0.667, 0.333, 0.086], [0.667, 0.333, 0.581], [0.000, 0.000, 0.500], [0.333, 0.667, 0.167], [0.667, 0.333, 0.833]]}



# 11
{"formula": "Li5ZrHg6", "functional": "PBE", "state": "relaxed", "lattice": [[2.384, -7.042, 0.000], [2.384, 7.042, 0.000], [0.000, 0.000, 6.851]], "species": ["Li", "Li", "Li", "Li", "Li", "Zr", "Hg", "Hg", "Hg", "Hg", "Hg", "Hg"], "fractional_positions": [[0.000, 0.000, 0.000], [0.331, 0.669, 0.500], [0.337, 0.663, 0.000], [0.663, 0.337, 0.000], [0.669, 0.331, 0.500], [0.000, 0.000, 0.500], [0.169, 0.831, 0.239], [0.169, 0.831, 0.761], [0.500, 0.500, 0.244], [0.500, 0.500, 0.756], [0.831, 0.169, 0.239], [0.831, 0.169, 0.761]]}



# 12
{"formula": "LiZr2Hg", "functional": "PBE", "state": "relaxed", "lattice": [[4.232, 0.000, 0.000], [0.000, 4.232, 0.000], [0.000, 0.000, 4.512]], "species": ["Li", "Zr", "Zr", "Hg"], "fractional_positions": [[0.000, 0.000, 0.000], [0.000, 0.500, 0.500], [0.500, 0.000, 0.500], [0.500, 0.500, 0.000]]}



| no. | ΔH_f (0 K) (eV/atom) | density of states at the Fermi level (states/eV/cell) |
| --- | --- | --- |
| 1 | -0.0924 | 6.3 |
| 2 | -0.0030 | 7.4 |
| 3 | -0.3127 | 5.2 |
| 4 | -0.1377 | 3.7 |
| 5 | -0.0190 | 3.8 |
| 6 | -0.1004 | 3.1 |
| 7 | 0.0411 | 4.0 |
| 8 | 0.2507 | 12.4 |
| 9 | -0.1706 | 13.7 |
| 10 | 0.1334 | 14.5 |
| 11 | -0.3074 | 5.0 |
| 12 | -0.0345 | 4.8 |